Entry 1:
Here is Gd2PuTl after structural relaxation from the Alexandria database. Energies are from PBE.

Cell lengths 4.661, 4.912, 4.912 Å; angles 90.00, 90.00, 90.00 degrees
Atoms (fractional coordinates):
Pu 0.500 0.500 0.500
Tl 0.500 0.000 0.000
Gd 0.000 0.000 0.500
Gd 0.000 0.500 0.000

## Properties
* calculated total energy: -11.268 eV/atom
* ΔH_f (0 K): -0.2 eV per formula unit
* DOS at the Fermi energy: 12.76 states/eV/cell
* size of the total moment: 8.183 μB/f.u.



Entry 2:
Here is Li3B4C4 after structural relaxation from the Alexandria database. Energies are from PBE.

Cell lengths 5.457, 5.457, 7.120 Å; angles 90.00, 90.00, 120.00 degrees
Atoms (fractional coordinates):
B 0.829 0.664 0.750
B 0.336 0.664 0.750
B 0.664 0.336 0.250
B 0.664 0.829 0.250
B 0.336 0.171 0.750
B 0.833 0.167 0.750
B 0.167 0.833 0.250
B 0.171 0.336 0.250
C 0.834 0.667 0.250
C 0.333 0.166 0.250
C 0.833 0.167 0.250
C 0.166 0.333 0.750
C 0.333 0.667 0.250
C 0.167 0.833 0.750
C 0.667 0.834 0.750
C 0.667 0.333 0.750
Li 0.000 0.000 0.500
Li 0.000 0.500 0.500
Li 0.000 0.500 0.000
Li 0.500 0.000 0.500
Li 0.500 0.000 0.000
Li 0.000 0.000 0.000

## Properties
* calculated total energy: -6.536 eV/atom
* ΔH_f (0 K): -2.5 eV per formula unit
* DOS at the Fermi energy: 5.15 states/eV/cell
* size of the total moment: 0.000 μB/f.u.



Entry 3:
Here is Na2Ga3PdF12 after structural relaxation from the Alexandria database. Energies are from PBE.

Cell lengths 7.068, 7.068, 7.068 Å; angles 63.11, 63.11, 63.11 degrees
Atoms (fractional coordinates):
F 0.900 0.285 0.285
F 0.285 0.900 0.285
F 0.576 0.127 0.127
F 0.424 0.873 0.873
F 0.873 0.424 0.873
F 0.127 0.127 0.576
F 0.100 0.715 0.715
F 0.715 0.100 0.715
F 0.715 0.715 0.100
F 0.127 0.576 0.127
F 0.285 0.285 0.900
F 0.873 0.873 0.424
Na 0.652 0.652 0.652
Na 0.348 0.348 0.348
Pd 0.000 0.000 0.000
Ga 0.000 0.500 0.000
Ga 0.500 0.000 0.000
Ga 0.000 0.000 0.500

## Properties
* calculated total energy: -4.562 eV/atom
* ΔE_f (raw): -2.3746 eV per atom
* DOS at the Fermi energy: 6.76 states/eV/cell
* size of the total moment: 1.000 μB/f.u.



Entry 4:
Here is TcSnO3 after structural relaxation from the Alexandria database. Energies are from PBE.

Cell lengths 4.027, 4.027, 4.027 Å; angles 90.00, 90.00, 90.00 degrees
Atoms (fractional coordinates):
Tc 0.500 0.500 0.500
O 0.500 0.000 0.000
O 0.000 0.000 0.500
O 0.000 0.500 0.000
Sn 0.000 0.000 0.000

## Properties
* calculated total energy: -6.323 eV/atom
* ΔE_f (raw): -0.4743 eV per atom
* DOS at the Fermi energy: 0.00 states/eV/cell
* size of the total moment: 5.000 μB/f.u.



Question: size of the total moment of number 3 (Na2Ga3PdF12)?
Answer: 1.000 μB/f.u.



Question: Which value of size of the total moment does entry 3 give?
Answer: 1.000 μB/f.u.